(1)
## Er3GaAg3S8 (PBE)

Data for a geometry-optimized Er3GaAg3S8 structure.

Unit cell a=7.821 b=7.812 c=7.685 alpha=120.98 beta=90.00 gamma=120.04
Positions (direct):
1 Er 0.000 0.500 0.500
2 Er 0.500 0.000 0.500
3 Er 0.500 0.500 0.500
4 Ag 0.000 0.500 0.000
5 Ag 0.000 0.000 0.000
6 Ag 0.500 0.500 0.000
7 S 0.769 0.998 0.270
8 S 0.231 0.002 0.730
9 S 0.770 0.002 0.730
10 S 0.770 0.539 0.271
11 S 0.255 0.509 0.267
12 S 0.745 0.491 0.733
13 S 0.230 0.998 0.270
14 S 0.230 0.461 0.729
15 Ga 0.000 0.000 0.500

E_form (uncorrected) = -1.06 eV per atom
DFT total energy = -4.94 eV/atom
Fermi-level density of states = 8.06 states/eV per cell
total moment = 0.0 μB per formula unit



(2)
## ErScGaAg (PBE)

Data for a geometry-optimized ErScGaAg structure.

Unit cell a=4.945 b=4.945 c=4.945 alpha=60.00 beta=60.00 gamma=60.00
Positions (direct):
1 Ga 0.750 0.750 0.750
2 Sc 0.500 0.500 0.500
3 Ag 0.250 0.250 0.250
4 Er 0.000 0.000 0.000

DFT total energy = -4.65 eV/atom
Fermi-level density of states = 2.63 states/eV per cell
total moment = 0.0 μB per formula unit



(3)
## Er3GaAg3Se8 (PBE)

Data for a geometry-optimized Er3GaAg3Se8 structure.

Unit cell a=8.136 b=8.135 c=8.020 alpha=120.63 beta=90.00 gamma=120.01
Positions (direct):
1 Er 0.500 0.500 0.500
2 Er 0.500 0.000 0.500
3 Er 0.000 0.500 0.500
4 Se 0.766 0.533 0.265
5 Se 0.231 0.998 0.265
6 Se 0.766 0.998 0.265
7 Se 0.769 0.002 0.735
8 Se 0.253 0.506 0.260
9 Se 0.234 0.002 0.735
10 Se 0.234 0.467 0.735
11 Se 0.747 0.494 0.740
12 Ga 0.000 0.000 0.500
13 Ag 0.500 0.500 0.000
14 Ag 0.000 0.000 0.000
15 Ag 0.000 0.500 0.000

E_form (uncorrected) = -0.96 eV per atom
DFT total energy = -4.50 eV/atom
Fermi-level density of states = 7.26 states/eV per cell
total moment = 0.0 μB per formula unit



(4)
## ErGaAg2Se4 (PBE)

Data for a geometry-optimized ErGaAg2Se4 structure.

Unit cell a=8.035 b=8.035 c=8.352 alpha=121.32 beta=121.32 gamma=90.17
Positions (direct):
1 Se 0.749 0.750 0.536
2 Se 0.238 0.762 0.500
3 Se 0.262 0.738 0.000
4 Se 0.750 0.751 0.964
5 Se 0.251 0.250 0.464
6 Se 0.250 0.249 0.036
7 Se 0.738 0.262 0.000
8 Se 0.762 0.238 0.500
9 Ga 0.500 0.500 0.500
10 Ga 0.000 0.000 0.000
11 Ag 0.500 0.000 0.500
12 Ag 0.000 0.000 0.500
13 Ag 0.500 0.500 0.000
14 Ag 0.500 0.000 0.000
15 Er 0.000 0.500 0.000
16 Er 0.000 0.500 0.500

E_form (uncorrected) = -0.69 eV per atom
DFT total energy = -4.09 eV/atom
Fermi-level density of states = 1.42 states/eV per cell
total moment = 0.0 μB per formula unit



(5)
## SmErGaAg (PBE)

Data for a geometry-optimized SmErGaAg structure.

Unit cell a=5.146 b=5.146 c=5.146 alpha=60.00 beta=60.00 gamma=60.00
Positions (direct):
1 Ag 0.250 0.250 0.250
2 Ga 0.750 0.750 0.750
3 Er 0.000 0.000 0.000
4 Sm 0.500 0.500 0.500

DFT total energy = -4.23 eV/atom
Fermi-level density of states = 3.36 states/eV per cell
total moment = 0.0 μB per formula unit



(6)
## ErGaAgSn (PBE)

Data for a geometry-optimized ErGaAgSn structure.

Unit cell a=4.997 b=4.997 c=4.997 alpha=60.00 beta=60.00 gamma=60.00
Positions (direct):
1 Sn 0.500 0.500 0.500
2 Ag 0.750 0.750 0.750
3 Er 0.000 0.000 0.000
4 Ga 0.250 0.250 0.250

DFT total energy = -3.86 eV/atom
Fermi-level density of states = 2.97 states/eV per cell
total moment = 0.0 μB per formula unit



(7)
## TbEr2Ga2Ag2 (PBE)

Data for a geometry-optimized TbEr2Ga2Ag2 structure.

Unit cell a=4.601 b=4.601 c=9.241 alpha=75.58 beta=75.58 gamma=60.00
Positions (direct):
1 Ga 0.743 0.743 0.770
2 Ga 0.257 0.257 0.230
3 Ag 0.400 0.400 0.799
4 Ag 0.600 0.600 0.201
5 Er 0.126 0.126 0.621
6 Er 0.874 0.874 0.379
7 Tb 0.000 0.000 0.000

DFT total energy = -4.01 eV/atom
Fermi-level density of states = 4.19 states/eV per cell
total moment = 0.0 μB per formula unit



(8)
## ErThGaAg (PBE)

Data for a geometry-optimized ErThGaAg structure.

Unit cell a=5.187 b=5.187 c=5.187 alpha=60.00 beta=60.00 gamma=60.00
Last column: magnetic moment on the atom in μB.
Positions (direct):
1 Th 0.000 0.000 0.000  0.10
2 Ag 0.250 0.250 0.250  0.02
3 Ga 0.750 0.750 0.750  -0.01
4 Er 0.500 0.500 0.500  0.12

DFT total energy = -4.78 eV/atom
Fermi-level density of states = 4.99 states/eV per cell
total moment = 0.4 μB per formula unit



(9)
## ErTlGaAg (PBE)

Data for a geometry-optimized ErTlGaAg structure.

Unit cell a=4.999 b=4.999 c=4.999 alpha=60.00 beta=60.00 gamma=60.00
Positions (direct):
1 Ag 0.250 0.250 0.250
2 Tl 0.000 0.000 0.000
3 Er 0.750 0.750 0.750
4 Ga 0.500 0.500 0.500

DFT total energy = -3.41 eV/atom
Fermi-level density of states = 0.59 states/eV per cell
total moment = 0.0 μB per formula unit



(10)
## Er4TlGaAg2 (PBE)

Data for a geometry-optimized Er4TlGaAg2 structure.

Unit cell a=5.145 b=5.145 c=8.895 alpha=73.19 beta=73.19 gamma=60.00
Positions (direct):
1 Er 0.129 0.129 0.614
2 Er 0.621 0.621 0.137
3 Er 0.871 0.871 0.386
4 Er 0.379 0.379 0.863
5 Ag 0.749 0.749 0.753
6 Ag 0.251 0.251 0.247
7 Tl 0.000 0.000 0.000
8 Ga 0.500 0.500 0.500

DFT total energy = -4.07 eV/atom
Fermi-level density of states = 4.35 states/eV per cell
total moment = 0.0 μB per formula unit



(11)
## ErTmGaAg (PBE)

Data for a geometry-optimized ErTmGaAg structure.

Unit cell a=5.053 b=5.053 c=5.053 alpha=60.00 beta=60.00 gamma=60.00
Positions (direct):
1 Ag 0.250 0.250 0.250
2 Ga 0.750 0.750 0.750
3 Tm 0.500 0.500 0.500
4 Er 0.000 0.000 0.000

DFT total energy = -4.20 eV/atom
Fermi-level density of states = 2.39 states/eV per cell
total moment = 0.0 μB per formula unit



(12)
## Er2Zn3Ga4Ag (PBE)

Data for a geometry-optimized Er2Zn3Ga4Ag structure.

Unit cell a=4.161 b=4.161 c=10.758 alpha=90.00 beta=90.00 gamma=90.00
Positions (direct):
1 Zn 0.000 0.000 0.500
2 Zn 0.000 0.500 0.136
3 Zn 0.500 0.000 0.864
4 Ga 0.500 0.000 0.642
5 Ga 0.000 0.000 0.000
6 Ga 0.500 0.500 0.000
7 Ga 0.000 0.500 0.358
8 Er 0.000 0.500 0.757
9 Er 0.500 0.000 0.243
10 Ag 0.500 0.500 0.500

DFT total energy = -3.16 eV/atom
Fermi-level density of states = 4.05 states/eV per cell
total moment = 0.0 μB per formula unit



(13)
## GdErAg2 (PBE)

Data for a geometry-optimized GdErAg2 structure.

Unit cell a=3.605 b=3.605 c=7.400 alpha=90.00 beta=90.00 gamma=90.00
Last column: magnetic moment on the atom in μB.
Positions (direct):
1 Ag 0.000 0.000 0.764  0.00
2 Ag 0.000 0.000 0.236  0.00
3 Er 0.500 0.500 0.000  -0.01
4 Gd 0.500 0.500 0.500  7.10

DFT total energy = -6.40 eV/atom
Fermi-level density of states = 3.70 states/eV per cell
total moment = 7.2 μB per formula unit



(14)
## GdErAgIr (PBE)

Data for a geometry-optimized GdErAgIr structure.

Unit cell a=4.976 b=4.976 c=4.976 alpha=60.00 beta=60.00 gamma=60.00
Last column: magnetic moment on the atom in μB.
Positions (direct):
1 Ir 0.250 0.250 0.250  -0.04
2 Ag 0.750 0.750 0.750  0.01
3 Er 0.000 0.000 0.000  0.04
4 Gd 0.500 0.500 0.500  7.01

DFT total energy = -8.17 eV/atom
Fermi-level density of states = 2.97 states/eV per cell
total moment = 7.2 μB per formula unit



(15)
## LiGdErAg (PBE)

Data for a geometry-optimized LiGdErAg structure.

Unit cell a=5.163 b=5.163 c=5.163 alpha=60.00 beta=60.00 gamma=60.00
Last column: magnetic moment on the atom in μB.
Positions (direct):
1 Li 0.750 0.750 0.750  0.01
2 Ag 0.250 0.250 0.250  0.01
3 Gd 0.500 0.500 0.500  7.09
4 Er 0.000 0.000 0.000  0.04

DFT total energy = -5.95 eV/atom
Fermi-level density of states = 4.67 states/eV per cell
total moment = 7.3 μB per formula unit



(16)
## GdErLuAg (PBE)

Data for a geometry-optimized GdErLuAg structure.

Unit cell a=5.335 b=5.335 c=5.335 alpha=60.00 beta=60.00 gamma=60.00
Last column: magnetic moment on the atom in μB.
Positions (direct):
1 Ag 0.250 0.250 0.250  0.00
2 Er 0.000 0.000 0.000  -0.03
3 Lu 0.750 0.750 0.750  -0.02
4 Gd 0.500 0.500 0.500  -7.11

DFT total energy = -6.47 eV/atom
Fermi-level density of states = 3.31 states/eV per cell
total moment = 7.3 μB per formula unit



(17)
## GdErMnAg (PBE)

Data for a geometry-optimized GdErMnAg structure.

Unit cell a=5.088 b=5.088 c=5.088 alpha=60.00 beta=60.00 gamma=60.00
Last column: magnetic moment on the atom in μB.
Positions (direct):
1 Mn 0.250 0.250 0.250  -3.57
2 Gd 0.000 0.000 0.000  7.18
3 Er 0.500 0.500 0.500  0.19
4 Ag 0.750 0.750 0.750  0.01

DFT total energy = -7.68 eV/atom
Fermi-level density of states = 5.05 states/eV per cell
total moment = 3.8 μB per formula unit



(18)
## NdGdErAg (PBE)

Data for a geometry-optimized NdGdErAg structure.

Unit cell a=5.413 b=5.413 c=5.413 alpha=60.00 beta=60.00 gamma=60.00
Last column: magnetic moment on the atom in μB.
Positions (direct):
1 Gd 0.500 0.500 0.500  7.37
2 Nd 0.250 0.250 0.250  0.12
3 Er 0.750 0.750 0.750  0.24
4 Ag 0.000 0.000 0.000  0.01

DFT total energy = -6.49 eV/atom
Fermi-level density of states = 6.42 states/eV per cell
total moment = 8.1 μB per formula unit



(19)
## GdErNiAg (PBE)

Data for a geometry-optimized GdErNiAg structure.

Unit cell a=4.979 b=4.979 c=4.979 alpha=60.00 beta=60.00 gamma=60.00
Last column: magnetic moment on the atom in μB.
Positions (direct):
1 Gd 0.500 0.500 0.500  7.02
2 Ni 0.750 0.750 0.750  -0.01
3 Er 0.000 0.000 0.000  0.02
4 Ag 0.250 0.250 0.250  0.01

DFT total energy = -7.12 eV/atom
Fermi-level density of states = 3.17 states/eV per cell
total moment = 7.2 μB per formula unit



(20)
## GdErAgPd (PBE)

Data for a geometry-optimized GdErAgPd structure.

Unit cell a=5.054 b=5.054 c=5.054 alpha=60.00 beta=60.00 gamma=60.00
Last column: magnetic moment on the atom in μB.
Positions (direct):
1 Gd 0.250 0.250 0.250  7.01
2 Er 0.750 0.750 0.750  0.02
3 Pd 0.000 0.000 0.000  0.00
4 Ag 0.500 0.500 0.500  0.01

DFT total energy = -7.25 eV/atom
Fermi-level density of states = 3.24 states/eV per cell
total moment = 7.2 μB per formula unit



(21)
## PmGdErAg (PBE)

Data for a geometry-optimized PmGdErAg structure.

Unit cell a=5.369 b=5.369 c=5.369 alpha=60.00 beta=60.00 gamma=60.00
Last column: magnetic moment on the atom in μB.
Positions (direct):
1 Er 0.000 0.000 0.000  0.51
2 Pm 0.750 0.750 0.750  0.60
3 Ag 0.250 0.250 0.250  0.03
4 Gd 0.500 0.500 0.500  7.43

DFT total energy = -6.48 eV/atom
Fermi-level density of states = 4.64 states/eV per cell
total moment = 9.4 μB per formula unit



(22)
## GdErAgRu (PBE)

Data for a geometry-optimized GdErAgRu structure.

Unit cell a=4.962 b=4.962 c=4.962 alpha=60.00 beta=60.00 gamma=60.00
Last column: magnetic moment on the atom in μB.
Positions (direct):
1 Ru 0.750 0.750 0.750  -0.10
2 Gd 0.000 0.000 0.000  7.05
3 Er 0.500 0.500 0.500  0.05
4 Ag 0.250 0.250 0.250  0.01

DFT total energy = -8.03 eV/atom
Fermi-level density of states = 2.59 states/eV per cell
total moment = 7.1 μB per formula unit



(23)
## GdErSiAg (PBE)

Data for a geometry-optimized GdErSiAg structure.

Unit cell a=5.044 b=5.044 c=5.044 alpha=60.00 beta=60.00 gamma=60.00
Last column: magnetic moment on the atom in μB.
Positions (direct):
1 Si 0.750 0.750 0.750  -0.04
2 Ag 0.250 0.250 0.250  0.03
3 Er 0.000 0.000 0.000  0.26
4 Gd 0.500 0.500 0.500  7.21

E_form (uncorrected) = -0.45 eV per atom
DFT total energy = -7.18 eV/atom
Fermi-level density of states = 3.08 states/eV per cell
total moment = 7.7 μB per formula unit



(24)
## SmGdErAg (PBE)

Data for a geometry-optimized SmGdErAg structure.

Unit cell a=5.389 b=5.389 c=5.389 alpha=60.00 beta=60.00 gamma=60.00
Last column: magnetic moment on the atom in μB.
Positions (direct):
1 Sm 0.500 0.500 0.500  -0.13
2 Ag 0.750 0.750 0.750  -0.01
3 Gd 0.250 0.250 0.250  -7.36
4 Er 0.000 0.000 0.000  -0.22

DFT total energy = -6.48 eV/atom
Fermi-level density of states = 6.39 states/eV per cell
total moment = 8.1 μB per formula unit



(25)
## GdErAgSn (PBE)

Data for a geometry-optimized GdErAgSn structure.

Unit cell a=5.232 b=5.232 c=5.232 alpha=60.00 beta=60.00 gamma=60.00
Last column: magnetic moment on the atom in μB.
Positions (direct):
1 Gd 0.500 0.500 0.500  7.24
2 Sn 0.250 0.250 0.250  -0.06
3 Ag 0.750 0.750 0.750  0.02
4 Er 0.000 0.000 0.000  0.28

DFT total energy = -6.89 eV/atom
Fermi-level density of states = 3.66 states/eV per cell
total moment = 7.9 μB per formula unit



(26)
## TbGdErAg (PBE)

Data for a geometry-optimized TbGdErAg structure.

Unit cell a=5.355 b=5.355 c=5.355 alpha=60.00 beta=60.00 gamma=60.00
Last column: magnetic moment on the atom in μB.
Positions (direct):
1 Tb 0.000 0.000 0.000  0.18
2 Er 0.500 0.500 0.500  0.21
3 Ag 0.250 0.250 0.250  0.01
4 Gd 0.750 0.750 0.750  7.37

DFT total energy = -6.46 eV/atom
Fermi-level density of states = 6.50 states/eV per cell
total moment = 8.1 μB per formula unit



(27)
## GdErTlAg (PBE)

Data for a geometry-optimized GdErTlAg structure.

Unit cell a=5.264 b=5.264 c=5.264 alpha=60.00 beta=60.00 gamma=60.00
Last column: magnetic moment on the atom in μB.
Positions (direct):
1 Ag 0.250 0.250 0.250  0.01
2 Tl 0.750 0.750 0.750  -0.01
3 Er 0.000 0.000 0.000  0.11
4 Gd 0.500 0.500 0.500  7.12

DFT total energy = -6.30 eV/atom
Fermi-level density of states = 4.21 states/eV per cell
total moment = 7.5 μB per formula unit



(28)
## Er2AgGe (PBE)

Data for a geometry-optimized Er2AgGe structure.

Unit cell a=4.312 b=4.312 c=6.852 alpha=71.66 beta=71.66 gamma=60.00
Positions (direct):
1 Ge 0.000 0.000 0.000
2 Ag 0.500 0.500 0.500
3 Er 0.743 0.743 0.771
4 Er 0.257 0.257 0.229

DFT total energy = -4.57 eV/atom
Fermi-level density of states = 2.65 states/eV per cell
total moment = 0.0 μB per formula unit